! Cs2NaTlCu (GGA-PBE, optimized geometry); values from VASP
&SYSTEM
  ibrav = 0, nat = 5, ntyp = 4
/
ATOMIC_SPECIES
Cs 132.91 Cs.upf
Na 22.99 Na.upf
Tl 204.38 Tl.upf
Cu 63.55 Cu.upf
CELL_PARAMETERS angstrom
7.085 0.000 0.000
0.000 7.085 0.000
0.000 0.000 5.184
ATOMIC_POSITIONS angstrom
Cs 0.000 3.542 0.000
Cs 3.542 0.000 0.000
Na 0.000 0.000 2.592
Tl 3.542 3.542 2.592
Cu 3.542 3.542 0.000
! Calculated volume ... 260.2 Å³/f.u.
! DFT formation energy ... 170 meV per atom
! Theoretical density ... 3.55 Mg/m³